[1]
The following is a DFT calculation (PBE) of crystalline GeSbS2 at its relaxed geometry.

Unit cell a=4.463 b=5.636 c=3.610 alpha=90.00 beta=89.98 gamma=90.00
Sites, in units of the cell vectors:
S 0.093 0.000 0.874
S 0.702 0.500 0.375
Ge 0.085 0.500 0.875
Sb 0.620 0.000 0.376

## Properties
**Energy above the most stable polymorph in this dataset**: 0.003 eV per atom
**E_tot**: -4.32 eV/atom
**E_form (uncorrected)**: -76 meV per atom

***

[2]
The following is a DFT calculation (PBE) of crystalline Sc2VGe at its relaxed geometry.

Unit cell a=7.559 b=7.559 c=5.997 alpha=50.93 beta=50.93 gamma=90.00
Sites, in units of the cell vectors:
Sc 0.875 0.885 0.750
Sc 0.375 0.365 0.750
Sc 0.635 0.125 0.250
Sc 0.115 0.625 0.250
V 0.250 0.750 0.500
V 0.500 0.500 0.000
Ge 0.000 0.000 0.000
Ge 0.750 0.250 0.500

## Properties
**E_tot**: -6.37 eV/atom
**DFT formation energy**: 0.228 eV per atom

***

[3]
The following is a DFT calculation (PBE) of crystalline CdSn3Pb at its relaxed geometry.

Unit cell a=3.496 b=9.626 c=8.414 alpha=100.98 beta=90.00 gamma=90.00
Sites, in units of the cell vectors:
Sn 0.250 0.955 0.650
Sn 0.750 0.853 0.961
Sn 0.250 0.147 0.039
Sn 0.750 0.659 0.539
Sn 0.750 0.045 0.350
Sn 0.250 0.341 0.461
Pb 0.250 0.543 0.836
Pb 0.750 0.457 0.164
Cd 0.250 0.758 0.249
Cd 0.750 0.242 0.751

## Properties
**Energy above the most stable polymorph in this dataset**: 0.000 eV per atom
**E_tot**: -3.27 eV/atom
**DFT formation energy**: 0.059 eV per atom

***

[4]
The following is a DFT calculation (PBE) of crystalline Zr2TlSn at its relaxed geometry.

Unit cell a=4.351 b=4.566 c=4.566 alpha=90.00 beta=90.00 gamma=90.00
Sites, in units of the cell vectors:
Sn 0.500 0.500 0.500
Tl 0.500 0.000 0.000
Zr 0.000 0.000 0.500
Zr 0.000 0.500 0.000

## Properties
**E_tot**: -6.12 eV/atom
**DFT formation energy**: -0.252 eV per atom

***

[5]
The following is a DFT calculation (PBE) of crystalline Y2Tm3Pb4 at its relaxed geometry.

Unit cell a=4.885 b=6.763 c=8.540 alpha=104.14 beta=106.62 gamma=90.00
Sites, in units of the cell vectors:
Tm 0.000 0.000 0.000
Tm 0.888 0.413 0.777
Tm 0.112 0.587 0.223
Y 0.330 0.932 0.661
Y 0.670 0.068 0.339
Pb 0.509 0.282 0.019
Pb 0.250 0.319 0.500
Pb 0.750 0.681 0.500
Pb 0.491 0.718 0.981

## Properties
**E_tot**: -4.98 eV/atom
**DFT formation energy**: -0.403 eV per atom

***

[6]
The following is a DFT calculation (PBE) of crystalline ZrBeAg at its relaxed geometry.

Unit cell a=4.374 b=4.374 c=3.009 alpha=90.00 beta=90.00 gamma=120.00
Sites, in units of the cell vectors:
Ag 0.000 0.000 0.166
Be 0.667 0.333 0.167
Zr 0.333 0.667 0.667

## Properties
**Energy above the most stable polymorph in this dataset**: 0.210 eV per atom
**E_tot**: -5.00 eV/atom
**DFT formation energy**: 0.042 eV per atom

***

[7]
The following is a DFT calculation (PBE) of crystalline CaNbCr at its relaxed geometry.

Unit cell a=3.862 b=12.062 c=5.752 alpha=90.00 beta=90.00 gamma=90.00
Sites, in units of the cell vectors:
Cr 0.500 0.000 0.500
Cr 0.000 0.500 0.500
Cr 0.500 0.000 0.000
Cr 0.000 0.500 0.000
Nb 0.500 0.444 0.750
Nb 0.000 0.944 0.750
Nb 0.500 0.556 0.250
Nb 0.000 0.056 0.250
Ca 0.000 0.793 0.250
Ca 0.000 0.207 0.750
Ca 0.500 0.707 0.750
Ca 0.500 0.293 0.250

## Properties
**Energy above the most stable polymorph in this dataset**: 0.170 eV per atom
**E_tot**: -6.73 eV/atom
**DFT formation energy**: 0.498 eV per atom